Entry 1:
Below is TmTiAg2 after structural relaxation, with properties calculated at the PBE level.

DFT formation energy = -38.8 meV per atom
Distance to the lowest polymorph of the same formula = 18 meV per atom

abc: 4.815 4.815 3.526
angles: 90.00 90.00 90.00
Space group P4/mmm (No. 123)
Asymmetric unit:
Tm 0.000 0.000 0.000 [1 per cell]
Ti 0.500 0.500 0.000 [1 per cell]
Ag 0.000 0.500 0.500 [2 per cell]

=====

Entry 2:
Below is MnSbPb after structural relaxation, with properties calculated at the PBE level.

Distance to the lowest polymorph of the same formula = 128 meV per atom
Formation energy from raw total energies = 0.258 eV/atom

abc: 4.5832 4.5832 4.3976
angles: 90.00 90.00 120.00
Space group P3m1 (No. 156)
Asymmetric unit:
Mn 0.0000 0.0000 0.0000 [1 per cell]
Sb 0.3333 0.6667 0.0015 [1 per cell]
Pb 0.6667 0.3333 0.5015 [1 per cell]

=====

Entry 3:
Below is Li2GeC after structural relaxation, with properties calculated at the PBE level.

DFT formation energy = 758.5 meV per atom
Distance to the lowest polymorph of the same formula = 41 meV per atom

abc: 5.711 5.711 5.711
angles: 90.00 90.00 90.00
Space group Fm-3m (No. 225)
Asymmetric unit:
Li 0.250 0.250 0.250 [8 per cell]
Ge 0.000 0.000 0.000 [4 per cell]
C 0.000 0.000 0.500 [4 per cell]

=====

Entry 4:
Below is NdSm6Tm3Sc2 after structural relaxation, with properties calculated at the PBE level.

DFT formation energy = 37.5 meV per atom

abc: 6.142 10.634 11.629
angles: 90.00 100.10 90.00
Space group C2/m (No. 12)
Asymmetric unit:
Nd 0.000 0.000 0.000 [2 per cell]
Sm 0.246 0.500 0.248 [4 per cell]
Sm 0.248 0.332 0.752 [8 per cell]
Tm 0.000 0.167 0.500 [4 per cell]
Tm 0.000 0.500 0.500 [2 per cell]
Sc 0.000 0.334 0.000 [4 per cell]

=====

Entry 5:
Below is GaHg2Au2 after structural relaxation, with properties calculated at the PBE level.

DFT formation energy = 50.5 meV per atom
Distance to the lowest polymorph of the same formula = 42 meV per atom

abc: 7.132 7.132 4.250
angles: 90.00 90.00 90.00
Space group P4/mbm (No. 127)
Asymmetric unit:
Ga 0.000 0.000 0.000 [2 per cell]
Hg 0.162 0.338 0.500 [4 per cell]
Au 0.145 0.645 0.000 [4 per cell]

=====

Entry 6:
Below is Ti2VP2 after structural relaxation, with properties calculated at the PBE level.

DFT formation energy = -825.6 meV per atom
Distance to the lowest polymorph of the same formula = 194 meV per atom

abc: 4.942 3.386 9.350
angles: 90.00 101.94 90.00
Space group P2_1/m (No. 11)
Asymmetric unit:
Ti 0.110 0.250 0.231 [2 per cell]
Ti 0.290 0.250 0.611 [2 per cell]
V 0.241 0.250 0.959 [2 per cell]
P 0.222 0.750 0.416 [2 per cell]
P 0.413 0.750 0.823 [2 per cell]

=====

Entry 7:
Below is FeRh2W after structural relaxation, with properties calculated at the PBE level.

DFT formation energy = -136.6 meV per atom
Distance to the lowest polymorph of the same formula = 24 meV per atom

abc: 2.751 3.760 5.455
angles: 90.00 90.00 90.00
Space group Pmmm (No. 47)
Asymmetric unit:
Fe 0.000 0.000 0.000 [1 per cell]
Rh 0.500 0.500 0.244 [2 per cell]
W 0.000 0.000 0.500 [1 per cell]

=====

Entry 8:
Below is Ac2ZrSnN5 after structural relaxation, with properties calculated at the PBE level.

Formation energy from raw total energies = -0.757 eV/atom

abc: 3.533 14.782 11.027
angles: 90.00 90.00 90.00
Space group Cmc2_1 (No. 36)
Asymmetric unit:
Ac 0.000 0.120 0.000 [4 per cell]
Ac 0.000 0.131 0.578 [4 per cell]
Zr 0.000 0.225 0.295 [4 per cell]
Sn 0.000 0.485 0.770 [4 per cell]
N 0.000 0.067 0.343 [4 per cell]
N 0.000 0.283 0.932 [4 per cell]
N 0.000 0.295 0.668 [4 per cell]
N 0.000 0.369 0.302 [4 per cell]
N 0.000 0.498 0.581 [4 per cell]

=====

Entry 9:
Below is AcLa6TbEr2 after structural relaxation, with properties calculated at the PBE level.

DFT formation energy = 108.5 meV per atom

abc: 9.491 15.519 9.949
angles: 90.00 97.24 90.00
Space group C2/c (No. 15)
Asymmetric unit:
Ac 0.000 0.028 0.250 [4 per cell]
La 0.067 0.179 0.948 [8 per cell]
La 0.096 0.392 0.121 [8 per cell]
La 0.223 0.226 0.314 [8 per cell]
Tb 0.000 0.411 0.750 [4 per cell]
Er 0.246 0.450 0.453 [8 per cell]

=====

Entry 10:
Below is BaTl2Hg2Sb after structural relaxation, with properties calculated at the PBE level.

Formation energy from raw total energies = -0.136 eV/atom

abc: 5.959 5.959 12.807
angles: 90.00 90.00 90.00
Space group I4/mmm (No. 139)
Asymmetric unit:
Ba 0.000 0.000 0.000 [2 per cell]
Tl 0.000 0.500 0.250 [4 per cell]
Hg 0.000 0.000 0.275 [4 per cell]
Sb 0.000 0.000 0.500 [2 per cell]

=====

Entry 11:
Below is Ac6PmHo2 after structural relaxation, with properties calculated at the PBE level.

DFT formation energy = 166.6 meV per atom

abc: 15.359 12.548 7.751
angles: 90.00 90.15 90.00
Space group C2/c (No. 15)
Asymmetric unit:
Ac 0.102 0.005 0.371 [8 per cell]
Ac 0.116 0.272 0.114 [8 per cell]
Ac 0.146 0.253 0.625 [8 per cell]
Pm 0.000 0.469 0.750 [4 per cell]
Ho 0.201 0.495 0.393 [8 per cell]

=====

Entry 12:
Below is RbIn8Ge2 after structural relaxation, with properties calculated at the PBE level.

DFT formation energy = 122.1 meV per atom

abc: 6.236 6.236 10.515
angles: 90.00 90.00 90.00
Space group P4/mmm (No. 123)
Asymmetric unit:
Rb 0.000 0.000 0.000 [1 per cell]
In 0.251 0.251 0.311 [8 per cell]
Ge 0.000 0.500 0.500 [2 per cell]